No. 1
Here is a geometry-optimized Pu5GePt2 structure from Alexandria. Energies are from GGA-PBE.

Results
Calculated formation energy   -0.53 eV per atom
E_tot   -0.85099 Ry per atom
Magnetization   3.581 μB per atom
DOS at the Fermi energy   142.942 states/eV/cell
Mass density   14.65 Mg/m³

CIF file:
```
data_Pu5GePt2
_chemical_formula_sum 'Pu20 Ge4 Pt8'
_cell_length_a 7.7108
_cell_length_b 7.7108
_cell_length_c 12.8361
_cell_angle_alpha 90.00
_cell_angle_beta 90.00
_cell_angle_gamma 90.00
_space_group_name_H-M_alt 'I 4/m c m'
_space_group_IT_number 140
_space_group_name_Hall '-I 4 2c'
loop_
_atom_site_label
_atom_site_type_symbol
_atom_site_fract_x
_atom_site_fract_y
_atom_site_fract_z
Pu1 Pu 0.0000 0.0000 0.0000
Pu2 Pu 0.1664 0.3336 0.1514
Ge1 Ge 0.0000 0.0000 0.2500
Pt1 Pt 0.1294 0.3706 0.5000
```

***

No. 2
Here is a geometry-optimized PuGe2Pt structure from Alexandria. Energies are from GGA-PBE.

Results
Calculated formation energy   -0.62 eV per atom
E_tot   -0.58941 Ry per atom
Magnetization   1.321 μB per atom
DOS at the Fermi energy   27.657 states/eV/cell
Mass density   12.38 Mg/m³

CIF file:
```
data_PuGe2Pt
_chemical_formula_sum 'Pu3 Ge6 Pt3'
_cell_length_a 4.2386
_cell_length_b 4.2386
_cell_length_c 15.1128
_cell_angle_alpha 90.00
_cell_angle_beta 90.00
_cell_angle_gamma 120.00
_space_group_name_H-M_alt 'R -3 m'
_space_group_IT_number 166
_space_group_name_Hall '-R 3 2"'
loop_
_atom_site_label
_atom_site_type_symbol
_atom_site_fract_x
_atom_site_fract_y
_atom_site_fract_z
Pu1 Pu 0.0000 0.0000 0.0000
Ge1 Ge 0.0000 0.0000 0.2245
Pt1 Pt 0.0000 0.0000 0.5000
```

***

No. 3
Here is a geometry-optimized PuGe3Pt2 structure from Alexandria. Energies are from GGA-PBE.

Results
Calculated formation energy   -0.35 eV per atom
E_tot   -0.51880 Ry per atom
Magnetization   0.917 μB per atom
Distance to the lowest polymorph of the same formula   1.05 eV per formula unit
DOS at the Fermi energy   37.751 states/eV/cell
Mass density   12.47 Mg/m³

CIF file:
```
data_PuGe3Pt2
_chemical_formula_sum 'Pu4 Ge12 Pt8'
_cell_length_a 9.8838
_cell_length_b 8.3960
_cell_length_c 5.4699
_cell_angle_alpha 90.00
_cell_angle_beta 90.00
_cell_angle_gamma 90.00
_space_group_name_H-M_alt 'C m c m'
_space_group_IT_number 63
_space_group_name_Hall '-C 2c 2'
loop_
_atom_site_label
_atom_site_type_symbol
_atom_site_fract_x
_atom_site_fract_y
_atom_site_fract_z
Pu1 Pu 0.0000 0.0771 0.2500
Ge1 Ge 0.0000 0.4068 0.2500
Ge2 Ge 0.1525 0.2296 0.7500
Pt1 Pt 0.2091 0.5000 0.0000
```

***

No. 4
Here is a geometry-optimized PuGe4Pt6 structure from Alexandria. Energies are from GGA-PBE.

Results
Calculated formation energy   -0.45 eV per atom
E_tot   -0.49468 Ry per atom
Magnetization   0.494 μB per atom
DOS at the Fermi energy   40.219 states/eV/cell
Mass density   13.66 Mg/m³

CIF file:
```
data_PuGe4Pt6
_chemical_formula_sum 'Pu2 Ge8 Pt12'
_cell_length_a 6.7631
_cell_length_b 6.7631
_cell_length_c 9.0626
_cell_angle_alpha 90.00
_cell_angle_beta 90.00
_cell_angle_gamma 90.00
_space_group_name_H-M_alt 'I -4 2 m'
_space_group_IT_number 121
_space_group_name_Hall 'I -4 2'
loop_
_atom_site_label
_atom_site_type_symbol
_atom_site_fract_x
_atom_site_fract_y
_atom_site_fract_z
Pu1 Pu 0.0000 0.0000 0.0000
Ge1 Ge 0.2071 0.2071 0.3409
Pt1 Pt 0.0000 0.5000 0.0000
Pt2 Pt 0.1569 0.1569 0.6214
```

***

No. 5
Here is a geometry-optimized Pu6GePt structure from Alexandria. Energies are from GGA-PBE.

Results
Calculated formation energy   -0.20 eV per atom
E_tot   -0.90243 Ry per atom
Magnetization   4.376 μB per atom
DOS at the Fermi energy   33.523 states/eV/cell
Mass density   15.08 Mg/m³

CIF file:
```
data_Pu6GePt
_chemical_formula_sum 'Pu6 Ge1 Pt1'
_cell_length_a 4.4855
_cell_length_b 4.4855
_cell_length_c 9.4786
_cell_angle_alpha 90.00
_cell_angle_beta 90.00
_cell_angle_gamma 90.00
_space_group_name_H-M_alt 'P 4/m m m'
_space_group_IT_number 123
_space_group_name_Hall '-P 4 2'
loop_
_atom_site_label
_atom_site_type_symbol
_atom_site_fract_x
_atom_site_fract_y
_atom_site_fract_z
Pu1 Pu 0.0000 0.0000 0.0000
Pu2 Pu 0.0000 0.0000 0.5000
Pu3 Pu 0.0000 0.5000 0.2485
Ge1 Ge 0.5000 0.5000 0.0000
Pt1 Pt 0.5000 0.5000 0.5000
```

***

No. 6
Here is a geometry-optimized Pu7Ge2Pt2 structure from Alexandria. Energies are from GGA-PBE.

Results
Calculated formation energy   -0.34 eV per atom
E_tot   -0.83807 Ry per atom
Magnetization   1.547 μB per atom
DOS at the Fermi energy   116.232 states/eV/cell
Mass density   13.65 Mg/m³

CIF file:
```
data_Pu7Ge2Pt2
_chemical_formula_sum 'Pu14 Ge4 Pt4'
_cell_length_a 3.7297
_cell_length_b 15.4162
_cell_length_c 9.4928
_cell_angle_alpha 90.00
_cell_angle_beta 90.00
_cell_angle_gamma 90.00
_space_group_name_H-M_alt 'I m m 2'
_space_group_IT_number 44
_space_group_name_Hall 'I 2 -2'
loop_
_atom_site_label
_atom_site_type_symbol
_atom_site_fract_x
_atom_site_fract_y
_atom_site_fract_z
Pu1 Pu 0.0000 0.0000 0.0000
Pu2 Pu 0.0000 0.1098 0.5723
Pu3 Pu 0.0000 0.3227 0.3552
Pu4 Pu 0.0000 0.3571 0.7460
Ge1 Ge 0.0000 0.0000 0.3153
Ge2 Ge 0.0000 0.5000 0.2516
Pt1 Pt 0.0000 0.2402 0.0616
```

***

No. 7
Here is a geometry-optimized Pu3Ge6Pt20 structure from Alexandria. Energies are from GGA-PBE.

Results
Calculated formation energy   -0.44 eV per atom
E_tot   -0.51750 Ry per atom
Magnetization   0.494 μB per atom
DOS at the Fermi energy   207.634 states/eV/cell
Mass density   16.77 Mg/m³

CIF file:
```
data_Pu3Ge6Pt20
_chemical_formula_sum 'Pu12 Ge24 Pt80'
_cell_length_a 12.6161
_cell_length_b 12.6161
_cell_length_c 12.6161
_cell_angle_alpha 90.00
_cell_angle_beta 90.00
_cell_angle_gamma 90.00
_space_group_name_H-M_alt 'F m -3 m'
_space_group_IT_number 225
_space_group_name_Hall '-F 4 2 3'
loop_
_atom_site_label
_atom_site_type_symbol
_atom_site_fract_x
_atom_site_fract_y
_atom_site_fract_z
Pu1 Pu 0.0000 0.0000 0.0000
Pu2 Pu 0.2500 0.2500 0.2500
Ge1 Ge 0.0000 0.0000 0.2679
Pt1 Pt 0.0000 0.1739 0.1739
Pt2 Pt 0.1179 0.1179 0.3821
```

***

No. 8
Here is a geometry-optimized PuGe2Pt structure from Alexandria. Energies are from GGA-PBE.

Results
Calculated formation energy   -0.64 eV per atom
E_tot   -0.59107 Ry per atom
Magnetization   1.306 μB per atom
DOS at the Fermi energy   100.883 states/eV/cell
Mass density   12.12 Mg/m³

CIF file:
```
data_PuGe2Pt
_chemical_formula_sum 'Pu8 Ge16 Pt8'
_cell_length_a 4.3927
_cell_length_b 8.8383
_cell_length_c 16.4950
_cell_angle_alpha 90.00
_cell_angle_beta 90.00
_cell_angle_gamma 90.00
_space_group_name_H-M_alt 'I m m m'
_space_group_IT_number 71
_space_group_name_Hall '-I 2 2'
loop_
_atom_site_label
_atom_site_type_symbol
_atom_site_fract_x
_atom_site_fract_y
_atom_site_fract_z
Pu1 Pu 0.0000 0.0000 0.2023
Pu2 Pu 0.0000 0.2362 0.0000
Ge1 Ge 0.0000 0.0000 0.4258
Ge2 Ge 0.0000 0.3493 0.1992
Ge3 Ge 0.0000 0.5000 0.4254
Pt1 Pt 0.0000 0.2483 0.3526
```

***

No. 9
Here is a geometry-optimized PuGe6Pt12 structure from Alexandria. Energies are from GGA-PBE.

Results
Calculated formation energy   -0.35 eV per atom
E_tot   -0.46896 Ry per atom
Magnetization   0.282 μB per atom
DOS at the Fermi energy   76.899 states/eV/cell
Mass density   15.04 Mg/m³

CIF file:
```
data_PuGe6Pt12
_chemical_formula_sum 'Pu3 Ge18 Pt36'
_cell_length_a 11.6810
_cell_length_b 11.6810
_cell_length_c 8.4684
_cell_angle_alpha 90.00
_cell_angle_beta 90.00
_cell_angle_gamma 120.00
_space_group_name_H-M_alt 'R -3 m'
_space_group_IT_number 166
_space_group_name_Hall '-R 3 2"'
loop_
_atom_site_label
_atom_site_type_symbol
_atom_site_fract_x
_atom_site_fract_y
_atom_site_fract_z
Pu1 Pu 0.0000 0.0000 0.0000
Ge1 Ge 0.0521 0.5260 0.2622
Pt1 Pt 0.0000 0.3740 0.5000
Pt2 Pt 0.0793 0.1586 0.3051
```

***

No. 10
Here is a geometry-optimized PuGe3Pt5 structure from Alexandria. Energies are from GGA-PBE.

Results
Calculated formation energy   -0.51 eV per atom
E_tot   -0.51435 Ry per atom
Magnetization   0.602 μB per atom
DOS at the Fermi energy   63.087 states/eV/cell
Mass density   14.23 Mg/m³

CIF file:
```
data_PuGe3Pt5
_chemical_formula_sum 'Pu4 Ge12 Pt20'
_cell_length_a 3.8501
_cell_length_b 13.1511
_cell_length_c 13.2546
_cell_angle_alpha 90.00
_cell_angle_beta 90.00
_cell_angle_gamma 90.00
_space_group_name_H-M_alt 'C m c m'
_space_group_IT_number 63
_space_group_name_Hall '-C 2c 2'
loop_
_atom_site_label
_atom_site_type_symbol
_atom_site_fract_x
_atom_site_fract_y
_atom_site_fract_z
Pu1 Pu 0.0000 0.1327 0.2500
Ge1 Ge 0.0000 0.1224 0.7500
Ge2 Ge 0.0000 0.3775 0.5373
Pt1 Pt 0.0000 0.0000 0.0000
Pt2 Pt 0.0000 0.2015 0.5801
Pt3 Pt 0.0000 0.4644 0.1493
```

***

No. 11
Here is a geometry-optimized Pu2GePt5 structure from Alexandria. Energies are from GGA-PBE.

Results
Calculated formation energy   -0.66 eV per atom
E_tot   -0.63151 Ry per atom
Magnetization   1.274 μB per atom
DOS at the Fermi energy   47.893 states/eV/cell
Mass density   15.85 Mg/m³

CIF file:
```
data_Pu2GePt5
_chemical_formula_sum 'Pu4 Ge2 Pt10'
_cell_length_a 9.8577
_cell_length_b 5.6244
_cell_length_c 6.8130
_cell_angle_alpha 90.00
_cell_angle_beta 121.56
_cell_angle_gamma 90.00
_space_group_name_H-M_alt 'C 1 m 1'
_space_group_IT_number 8
_space_group_name_Hall 'C -2y'
loop_
_atom_site_label
_atom_site_type_symbol
_atom_site_fract_x
_atom_site_fract_y
_atom_site_fract_z
Pu1 Pu 0.0000 0.0000 0.0000
Pu2 Pu 0.0585 0.5000 0.6575
Ge1 Ge 0.2737 0.0000 0.8318
Pt1 Pt 0.0585 0.5000 0.1524
Pt2 Pt 0.2725 0.2556 0.5373
Pt3 Pt 0.3075 0.2556 0.1616
```

***

No. 12
Here is a geometry-optimized Pu5Ge3Pt structure from Alexandria. Energies are from GGA-PBE.

Results
Calculated formation energy   -0.46 eV per atom
E_tot   -0.78116 Ry per atom
Magnetization   2.991 μB per atom
DOS at the Fermi energy   72.587 states/eV/cell
Mass density   13.08 Mg/m³

CIF file:
```
data_Pu5Ge3Pt
_chemical_formula_sum 'Pu10 Ge6 Pt2'
_cell_length_a 8.9817
_cell_length_b 8.9817
_cell_length_c 5.9335
_cell_angle_alpha 90.00
_cell_angle_beta 90.00
_cell_angle_gamma 120.00
_space_group_name_H-M_alt 'P 63/m c m'
_space_group_IT_number 193
_space_group_name_Hall '-P 6c 2'
loop_
_atom_site_label
_atom_site_type_symbol
_atom_site_fract_x
_atom_site_fract_y
_atom_site_fract_z
Pu1 Pu 0.0000 0.2780 0.2500
Pu2 Pu 0.3333 0.6667 0.0000
Ge1 Ge 0.0000 0.3860 0.7500
Pt1 Pt 0.0000 0.0000 0.0000
```